# 1
Below is crystalline Tm2CoPd at its relaxed geometry, with properties calculated at the PBE level.

a b c (Å): 3.354 3.354 6.807
angles (deg): 90.00 90.00 90.00
Sites, in units of the cell vectors:
Tm 0.000 0.000 0.763
Tm 0.000 0.000 0.237
Co 0.500 0.500 0.000
Pd 0.500 0.500 0.500

- Symmetry: P4/mmm, No. 123
- Energy: -5.9051 eV per atom
- Energy of formation from the pure elements: -0.59 eV/atom
- Density: 10.91 g/cm³

=====

# 2
Below is crystalline Si2HgHI at its relaxed geometry, with properties calculated at the PBE level.

a b c (Å): 4.057 7.178 4.057
angles (deg): 90.00 90.00 90.00
Sites, in units of the cell vectors:
I 0.000 0.500 0.000
H 0.000 0.000 0.000
Si 0.000 0.000 0.500
Si 0.500 0.000 0.000
Hg 0.500 0.500 0.500

- Symmetry: P4/mmm, No. 123
- Energy: -2.4029 eV per atom
- Density: 5.41 g/cm³

=====

# 3
Below is crystalline Nd2SO6 at its relaxed geometry, with properties calculated at the PBE level.

a b c (Å): 7.942 7.942 7.942
angles (deg): 149.46 149.46 43.73
Sites, in units of the cell vectors:
Nd 0.827 0.827 0.000
Nd 0.173 0.173 0.000
S 0.500 0.500 0.000
O 0.238 0.643 0.000
O 0.643 0.238 0.000
O 0.357 0.357 0.596
O 0.762 0.762 0.404
O 0.750 0.250 0.500
O 0.250 0.750 0.500

- Symmetry: I-42m, No. 121
- Raw formation energy: -2.5995 eV per atom
- Energy: -7.4231 eV per atom
- Density: 5.36 g/cm³

=====

# 4
Below is crystalline RbAlSn at its relaxed geometry, with properties calculated at the PBE level.

a b c (Å): 6.166 6.166 6.525
angles (deg): 90.00 90.00 105.42
Sites, in units of the cell vectors:
Sn 0.711 0.289 0.250
Sn 0.289 0.711 0.750
Rb 0.123 0.877 0.250
Rb 0.877 0.123 0.750
Al 0.500 0.500 0.000
Al 0.500 0.500 0.500

- Symmetry: Cmcm, No. 63
- Energy: -2.7467 eV per atom
- Energy of formation from the pure elements: 0.16 eV/atom
- Density: 3.21 g/cm³

=====

# 5
Below is crystalline La5PrGa2 at its relaxed geometry, with properties calculated at the PBE level.

a b c (Å): 5.502 5.502 20.171
angles (deg): 90.00 90.00 120.00
Sites, in units of the cell vectors:
La 0.000 0.000 0.349
La 0.000 0.000 0.151
La 0.667 0.333 0.250
La 0.000 0.000 0.849
La 0.667 0.333 0.057
La 0.333 0.667 0.750
La 0.333 0.667 0.943
La 0.333 0.667 0.557
La 0.667 0.333 0.443
La 0.000 0.000 0.651
Pr 0.333 0.667 0.250
Pr 0.667 0.333 0.750
Ga 0.667 0.333 0.597
Ga 0.333 0.667 0.097
Ga 0.333 0.667 0.403
Ga 0.667 0.333 0.903

- Symmetry: P6_3/mmc, No. 194
- Energy: -4.6089 eV per atom
- Energy of formation from the pure elements: -0.18 eV/atom
- Density: 6.12 g/cm³

=====

# 6
Below is crystalline CsBAsSe4 at its relaxed geometry, with properties calculated at the PBE level.

a b c (Å): 9.847 6.706 8.069
angles (deg): 90.00 114.35 90.00
Sites, in units of the cell vectors:
Cs 0.761 0.750 0.090
Cs 0.239 0.250 0.910
B 0.311 0.750 0.335
B 0.689 0.250 0.665
As 0.673 0.750 0.530
As 0.327 0.250 0.470
Se 0.838 0.488 0.721
Se 0.162 0.988 0.279
Se 0.162 0.512 0.279
Se 0.838 0.012 0.721
Se 0.410 0.750 0.160
Se 0.590 0.250 0.840
Se 0.458 0.750 0.607
Se 0.542 0.250 0.393

- Symmetry: P2_1/m, No. 11
- Raw formation energy: -0.3371 eV per atom
- Energy: -4.0683 eV per atom
- Density: 3.66 g/cm³

=====

# 7
Below is crystalline HgTe3Os at its relaxed geometry, with properties calculated at the PBE level.

a b c (Å): 5.301 5.301 5.301
angles (deg): 90.00 90.00 90.00
Sites, in units of the cell vectors:
Te 0.000 0.500 0.000
Te 0.000 0.000 0.500
Te 0.500 0.000 0.000
Os 0.000 0.000 0.000
Hg 0.500 0.500 0.500

- Symmetry: Pm-3m, No. 221
- Raw formation energy: 0.6313 eV per atom
- Energy: -3.5601 eV per atom
- Density: 8.62 g/cm³

=====

# 8
Below is crystalline Ho6AgBi2 at its relaxed geometry, with properties calculated at the PBE level.

a b c (Å): 6.450 8.060 10.256
angles (deg): 90.00 89.80 90.00
Sites, in units of the cell vectors:
Ho 0.848 0.966 0.236
Ho 0.866 0.660 0.541
Ho 0.882 0.708 0.955
Ho 0.618 0.208 0.545
Ho 0.634 0.160 0.959
Ho 0.652 0.466 0.264
Ho 0.152 0.034 0.764
Ho 0.134 0.340 0.459
Ho 0.118 0.292 0.045
Ho 0.382 0.792 0.455
Ho 0.366 0.840 0.041
Ho 0.348 0.534 0.736
Ag 0.500 0.500 0.000
Ag 0.000 0.000 0.500
Bi 0.893 0.385 0.761
Bi 0.607 0.885 0.739
Bi 0.393 0.115 0.261
Bi 0.107 0.615 0.239

- Symmetry: P2_1/c, No. 14
- Energy: -4.5800 eV per atom
- Energy of formation from the pure elements: -0.35 eV/atom
- Density: 9.44 g/cm³

=====

# 9
Below is crystalline AcTm2Pd at its relaxed geometry, with properties calculated at the PBE level.

a b c (Å): 4.020 4.020 9.439
angles (deg): 77.71 77.71 60.00
Sites, in units of the cell vectors:
Ac 0.502 0.502 0.495
Tm 0.056 0.056 0.833
Tm 0.277 0.277 0.169
Pd 0.666 0.666 0.003

- Symmetry: R3m, No. 160
- Energy: -4.9018 eV per atom
- Energy of formation from the pure elements: -0.34 eV/atom
- Density: 8.71 g/cm³

=====

# 10
Below is crystalline Nd3Ga4Cu2 at its relaxed geometry, with properties calculated at the PBE level.

a b c (Å): 4.446 5.800 8.545
angles (deg): 105.06 90.00 112.53
Sites, in units of the cell vectors:
Nd 0.639 0.278 0.683
Nd 0.000 0.000 0.000
Nd 0.361 0.722 0.317
Ga 0.721 0.442 0.067
Ga 0.279 0.558 0.933
Ga 0.907 0.814 0.588
Ga 0.093 0.186 0.412
Cu 0.659 0.318 0.327
Cu 0.341 0.682 0.673

- Symmetry: C2/m, No. 12
- Energy: -4.3648 eV per atom
- Energy of formation from the pure elements: -0.52 eV/atom
- Density: 7.13 g/cm³

=====

# 11
Below is crystalline Rb2LaZn2 at its relaxed geometry, with properties calculated at the PBE level.

a b c (Å): 7.829 7.829 6.390
angles (deg): 90.00 90.00 90.00
Sites, in units of the cell vectors:
Zn 0.387 0.887 0.000
Zn 0.887 0.613 0.000
Zn 0.613 0.113 0.000
Zn 0.113 0.387 0.000
Rb 0.177 0.677 0.500
Rb 0.677 0.823 0.500
Rb 0.823 0.323 0.500
Rb 0.323 0.177 0.500
La 0.000 0.000 0.000
La 0.500 0.500 0.000

- Symmetry: P4/mbm, No. 127
- Energy: -1.6427 eV per atom
- Energy of formation from the pure elements: 0.24 eV/atom
- Density: 3.74 g/cm³

=====

# 12
Below is crystalline ZrHg2Se at its relaxed geometry, with properties calculated at the PBE level.

a b c (Å): 6.518 6.518 4.079
angles (deg): 71.55 71.55 128.19
Sites, in units of the cell vectors:
Hg 0.000 0.000 0.000
Hg 0.500 0.500 0.000
Se 0.500 0.000 0.500
Zr 0.000 0.500 0.500

- Symmetry: C2/m, No. 12
- Raw formation energy: -0.2519 eV per atom
- Energy: -3.4110 eV per atom
- Density: 10.10 g/cm³